[1]
Computed, not measured: a relaxed TaCo2N crystal at the PBE level of DFT.

Cell lengths 5.385, 5.385, 5.385 Å; angles 122.90, 122.90, 85.05 degrees
Positions (direct):
Ta: 0.000 0.000 0.000
Ta: 0.750 0.250 0.500
Co: 0.237 0.625 0.112
Co: 0.375 0.487 0.612
Co: 0.513 0.125 0.888
Co: 0.875 0.763 0.388
N: 0.250 0.750 0.500
N: 0.500 0.500 0.000

Computed properties:
**E**: -8.376 eV/atom
**M_tot**: 0.00 μB/cell
**Calculated density**: 9.9 g/cm³

=====

[2]
Computed, not measured: a relaxed TaCoN3 crystal at the PBE level of DFT.

Cell lengths 3.595, 3.595, 3.595 Å; angles 90.00, 90.00, 90.00 degrees
Positions (direct):
Ta: 0.000 0.000 0.000
Co: 0.500 0.500 0.500
N: 0.000 0.500 0.500
N: 0.500 0.000 0.500
N: 0.500 0.500 0.000

Computed properties:
**E**: -8.011 eV/atom
**M_tot**: 0.00 μB/cell
**Calculated density**: 10.1 g/cm³

=====

[3]
Computed, not measured: a relaxed TaCoN2 crystal at the PBE level of DFT.

Cell lengths 3.750, 3.750, 3.750 Å; angles 60.00, 60.00, 60.00 degrees
Positions (direct):
Ta: 0.000 0.000 0.000
Co: 0.500 0.500 0.500
N: 0.250 0.250 0.250
N: 0.750 0.750 0.750

Computed properties:
**E**: -8.793 eV/atom
**M_tot**: 1.98 μB/cell
**Calculated density**: 11.9 g/cm³

=====

[4]
Computed, not measured: a relaxed TaCoN2 crystal at the PBE level of DFT.

Cell lengths 5.666, 5.666, 5.666 Å; angles 133.49, 133.49, 67.89 degrees
Positions (direct):
Ta: 0.000 0.000 0.000
Ta: 0.750 0.250 0.500
Co: 0.250 0.750 0.500
Co: 0.500 0.500 0.000
N: 0.134 0.625 0.009
N: 0.375 0.384 0.509
N: 0.616 0.125 0.991
N: 0.875 0.866 0.491

Computed properties:
**E**: -9.315 eV/atom
**M_tot**: 0.00 μB/cell
**Calculated density**: 9.5 g/cm³